Material: HgMo2As
Method: DFT, PBE
State: optimized geometry

Summary:
ΔE to the lowest computed polymorph = 405 meV per atom
E = -24.16 eV for the cell shown
DOS at the Fermi energy = 0.82 states/eV/atom
Energy of formation = 2.46 eV/f.u.
Crystal system = orthorhombic

Cell lengths 3.277, 4.686, 4.542 Å; angles 90.00, 90.00, 90.00 degrees
Fractional positions:
As 0.500 0.000 0.500
Mo 0.000 0.000 0.000
Mo 0.500 0.500 0.000
Hg 0.000 0.500 0.500